#w
Pm3AlH after structural relaxation. Source: the Alexandria database, functional PBE-GGA.

a = 3.7218 Å, b = 7.8266 Å, c = 8.6888 Å
α = 81.37°, β = 90.00°, γ = 103.75°
With the nearest neighbours (Å) after each atom.
Sites, in units of the cell vectors:
H  0.1925  0.3850  0.8509  6 Pm 2.54-2.72
H  0.8075  0.6150  0.1491  6 Pm 2.54-2.72
Pm  0.0467  0.0934  0.7351  1 H 2.57
Pm  0.6466  0.2932  0.0487  3 H 2.56-2.72
Pm  0.2470  0.4940  0.3340  2 H 2.54
Pm  0.3534  0.7068  0.9513  3 H 2.56-2.72
Pm  0.9532  0.9065  0.2649  1 H 2.57
Pm  0.7530  0.5060  0.6660  2 H 2.54
Al  0.5840  0.1681  0.4299  1 Al 2.66
Al  0.4160  0.8319  0.5701  1 Al 2.66

Computed properties:
V (Å³ per atom): 24.29
M_tot (μB/f.u.): 0.0


#x
Pm3AlH after structural relaxation. Source: the Alexandria database, functional PBE-GGA.

a = 4.9038 Å, b = 4.9038 Å, c = 4.9038 Å
α = 90.00°, β = 90.00°, γ = 90.00°
With the nearest neighbours (Å) after each atom.
Sites, in units of the cell vectors:
Pm  0.0000  0.5000  0.0000  2 H 2.45
Pm  0.0000  0.0000  0.5000  2 H 2.45
Pm  0.5000  0.0000  0.0000  2 H 2.45
Al  0.5000  0.5000  0.5000  12 Pm 3.47
H  0.0000  0.0000  0.0000  6 Pm 2.45

Computed properties:
V (Å³ per atom): 23.58
M_tot (μB/f.u.): 0.0


Stability summary - winner: #x; margin: 0.012 eV/atom.


#w
Pr2AlH after structural relaxation. Source: the Alexandria database, functional PBE-GGA.

a = 3.4025 Å, b = 3.4025 Å, c = 7.6053 Å
α = 90.00°, β = 90.00°, γ = 90.00°
With the nearest neighbours (Å) after each atom.
Sites, in units of the cell vectors:
Pr  0.0000  0.0000  0.2715  4 H 2.97, 4 Al 3.17
Pr  0.0000  0.0000  0.7285  4 H 2.97, 4 Al 3.17
H  0.5000  0.5000  0.5000  8 Pr 2.97
Al  0.5000  0.5000  0.0000  8 Pr 3.17, 4 Al 3.40

Computed properties:
V (Å³ per atom): 22.01
M_tot (μB/f.u.): 0.0


#x
Pr2AlH after structural relaxation. Source: the Alexandria database, functional PBE-GGA.

a = 3.3987 Å, b = 3.3987 Å, c = 9.7874 Å
α = 80.00°, β = 80.00°, γ = 60.00°
With the nearest neighbours (Å) after each atom.
Sites, in units of the cell vectors:
Al  0.0000  0.0000  0.0000  2 Pr 3.16, 6 Al 3.40
Pr  0.8901  0.8901  0.3296  3 H 2.55
Pr  0.1099  0.1099  0.6704  3 H 2.55
H  0.5000  0.5000  0.5000  6 Pr 2.55

Computed properties:
V (Å³ per atom): 23.98
M_tot (μB/f.u.): 0.0


Stability summary - winner: #w; margin: 0.271 eV/atom.